Entry 1:
This record from the Alexandria database describes Cd2AgSb after structural relaxation. The functional is PBE.

Cell and atoms, written as CIF:
```
data_Cd2AgSb
_cell_length_a 3.241
_cell_length_b 4.351
_cell_length_c 6.502
_cell_angle_alpha 90.00
_cell_angle_beta 90.00
_cell_angle_gamma 90.00
_space_group_name_H-M_alt 'P m m 2'
_space_group_IT_number 25
_space_group_name_Hall 'P 2 -2'
loop_
_atom_site_label
_atom_site_fract_x
_atom_site_fract_y
_atom_site_fract_z
_atom_site_occupancy
Cd1 0.000 0.000 0.000 1
Cd2 0.500 0.500 0.247 1
Ag1 0.500 0.500 0.784 1
Sb1 0.000 0.000 0.523 1
```

Properties
E_form (uncorrected) = 78 meV/atom

Entry 2:
This record from the Alexandria database describes Cd4AgSb after structural relaxation. The functional is PBE.

Cell and atoms, written as CIF:
```
data_Cd4AgSb
_cell_length_a 12.500
_cell_length_b 7.277
_cell_length_c 6.642
_cell_angle_alpha 90.00
_cell_angle_beta 105.35
_cell_angle_gamma 90.00
_space_group_name_H-M_alt 'C 1 2/m 1'
_space_group_IT_number 12
_space_group_name_Hall '-C 2y'
loop_
_atom_site_label
_atom_site_fract_x
_atom_site_fract_y
_atom_site_fract_z
_atom_site_occupancy
Cd1 0.000 0.201 0.000 1
Cd2 0.122 0.204 0.532 1
Cd3 0.189 0.500 0.175 1
Ag1 0.021 0.500 0.726 1
Sb1 0.227 0.000 0.203 1
```

Properties
E_form (uncorrected) = 41 meV/atom

Entry 3:
This record from the Alexandria database describes Cd2AgSb after structural relaxation. The functional is PBE.

Cell and atoms, written as CIF:
```
data_Cd2AgSb
_cell_length_a 4.483
_cell_length_b 4.483
_cell_length_c 9.062
_cell_angle_alpha 90.00
_cell_angle_beta 90.00
_cell_angle_gamma 90.00
_space_group_name_H-M_alt 'I 4/m m m'
_space_group_IT_number 139
_space_group_name_Hall '-I 4 2'
loop_
_atom_site_label
_atom_site_fract_x
_atom_site_fract_y
_atom_site_fract_z
_atom_site_occupancy
Cd1 0.000 0.500 0.250 1
Ag1 0.000 0.000 0.000 1
Sb1 0.000 0.000 0.500 1
```

Properties
E_form (uncorrected) = 84 meV/atom

Number 1: excess energy over the best structure of this formula in the dataset 0.030 eV/atom, uncorrected energy -2.1230 eV/atom. Number 2: excess energy over the best structure of this formula in the dataset 0.000 eV/atom, uncorrected energy -1.7309 eV/atom. Number 3: excess energy over the best structure of this formula in the dataset 0.036 eV/atom, uncorrected energy -2.1173 eV/atom.